The following is a PBE calculation of crystalline BIr3Ru at its relaxed geometry, from Alexandria.

a b c (Å): 4.694 4.694 4.694
angles (deg): 90.00 90.00 90.00
Fractional coordinates of all 5 atoms:
B (0.000, 0.000, 0.000)
Ir (0.000, 0.500, 0.500)
Ir (0.500, 0.000, 0.500)
Ir (0.500, 0.500, 0.000)
Ru (0.500, 0.500, 0.500)

Space-group type   Pm-3m, No. 221
Excess energy over the best structure of this formula in the dataset   2.2852 eV/atom
Density   11.1 g/cm3
Energy relative to the elements   2652 meV/atom

The following is a PBE calculation of crystalline CeNiCl6 at its relaxed geometry, from Alexandria.

a b c (Å): 7.994 11.153 6.388
angles (deg): 90.00 107.52 90.00
Fractional coordinates of all 16 atoms:
Ce (0.000, 0.000, 0.000)
Ce (0.500, 0.500, 0.000)
Ni (0.000, 0.000, 0.500)
Ni (0.500, 0.500, 0.500)
Cl (0.128, 0.151, 0.767)
Cl (0.128, 0.849, 0.767)
Cl (0.244, 0.500, 0.625)
Cl (0.256, 0.000, 0.375)
Cl (0.372, 0.349, 0.233)
Cl (0.372, 0.651, 0.233)
Cl (0.628, 0.349, 0.767)
Cl (0.628, 0.651, 0.767)
Cl (0.744, 0.000, 0.625)
Cl (0.756, 0.500, 0.375)
Cl (0.872, 0.151, 0.233)
Cl (0.872, 0.849, 0.233)

Space-group type   C2/m, No. 12
Excess energy over the best structure of this formula in the dataset   0.0000 eV/atom
Energy relative to the elements, uncorrected   -1394 meV per atom
Density   2.5 g/cm3

The following is a PBE calculation of crystalline SiBrO2 at its relaxed geometry, from Alexandria.

a b c (Å): 5.378 5.378 5.378
angles (deg): 60.00 60.00 60.00
Fractional coordinates of all 8 atoms:
Si (0.125, 0.125, 0.125)
Si (0.875, 0.875, 0.875)
Br (0.375, 0.375, 0.375)
Br (0.625, 0.625, 0.625)
O (0.000, 0.000, 0.000)
O (0.000, 0.000, 0.500)
O (0.000, 0.500, 0.000)
O (0.500, 0.000, 0.000)

Space-group type   Fd-3m, No. 227
Excess energy over the best structure of this formula in the dataset   0.0000 eV/atom
Energy relative to the elements, uncorrected   -1693 meV per atom
Density   4.2 g/cm3